No. 1
A geometry-optimized KSrEu4 structure. Source: Alexandria, functional GGA-PBE.

formation energy from the elements = 0.150 eV per atom
magnetic moment = 30.10 μB per cell
symmetry = F-43m, No. 216

Cell lengths 7.559, 7.559, 7.559 Å; angles 60.00, 60.00, 60.00 degrees
Atoms (fractional coordinates):
1 Eu 0.626 0.626 0.123
2 Eu 0.626 0.123 0.626
3 Eu 0.626 0.626 0.626
4 Eu 0.123 0.626 0.626
5 Sr 0.000 0.000 0.000
6 K 0.250 0.250 0.250

***

No. 2
A geometry-optimized MnMo2Cl structure. Source: Alexandria, functional GGA-PBE.

magnetic moment = 3.51 μB per cell
symmetry = Cmm2, No. 35
formation energy without anion corrections = 0.2546 eV per atom
excess energy over the best structure of this formula in the dataset = 32.2 kJ/mol of formula units

Cell lengths 2.915, 2.915, 8.398 Å; angles 90.00, 90.00, 113.48 degrees
Atoms (fractional coordinates):
1 Cl 0.000 0.000 0.520
2 Mn 0.500 0.500 0.749
3 Mo 0.000 0.000 0.998
4 Mo 0.500 0.500 0.234